Record 1
A plane-wave DFT calculation with GGA-PBEsol was carried out for a geometry-optimized Si2Au structure.

Geometry as CIF:
```
data_Si2Au
_chemical_formula_sum 'Si4 Au2'
_cell_length_a 4.4645
_cell_length_b 4.4645
_cell_length_c 5.6181
_cell_angle_alpha 90.00
_cell_angle_beta 90.00
_cell_angle_gamma 120.00
_space_group_name_H-M_alt 'P 63/m m c'
_space_group_IT_number 194
_space_group_name_Hall '-P 6c 2c'
loop_
_atom_site_label
_atom_site_type_symbol
_atom_site_fract_x
_atom_site_fract_y
_atom_site_fract_z
_atom_site_occupancy
Si1 Si 0.0000 0.0000 0.0000 1
Si2 Si 0.3333 0.6667 0.2500 1
Au1 Au 0.3333 0.6667 0.7500 1
```

The value obtained for the final energy is -4.795 eV per atom. The calculation puts the uncorrected formation energy at 0.34 eV per atom. Its size of the total moment is 0.00 μB/cell.

=====

Record 2
A plane-wave DFT calculation with GGA-PBEsol was carried out for a geometry-optimized BeCoRu structure.

Geometry as CIF:
```
data_BeCoRu
_chemical_formula_sum 'Be1 Co1 Ru1'
_cell_length_a 3.7916
_cell_length_b 3.7916
_cell_length_c 2.5241
_cell_angle_alpha 90.00
_cell_angle_beta 90.00
_cell_angle_gamma 120.00
_space_group_name_H-M_alt 'P -6 m 2'
_space_group_IT_number 187
_space_group_name_Hall 'P -6 2'
loop_
_atom_site_label
_atom_site_type_symbol
_atom_site_fract_x
_atom_site_fract_y
_atom_site_fract_z
_atom_site_occupancy
Be1 Be 0.0000 0.0000 0.0000 1
Co1 Co 0.3333 0.6667 0.0000 1
Ru1 Ru 0.6667 0.3333 0.5000 1
```

The value obtained for the final energy is -7.296 eV per atom. As for the calculated formation energy: 0.007 eV/atom. As for the energy above the lowest structure with this stoichiometry: 119 meV/atom. Its size of the total moment is 0.33 μB/cell.

=====

Record 3
A plane-wave DFT calculation with GGA-PBEsol was carried out for a geometry-optimized BeTlBr2 structure.

Geometry as CIF:
```
data_BeTlBr2
_chemical_formula_sum 'Be4 Tl4 Br8'
_cell_length_a 7.3661
_cell_length_b 7.3661
_cell_length_c 7.3661
_cell_angle_alpha 90.00
_cell_angle_beta 90.00
_cell_angle_gamma 90.00
_space_group_name_H-M_alt 'F m -3 m'
_space_group_IT_number 225
_space_group_name_Hall '-F 4 2 3'
loop_
_atom_site_label
_atom_site_type_symbol
_atom_site_fract_x
_atom_site_fract_y
_atom_site_fract_z
_atom_site_occupancy
Be1 Be 0.0000 0.0000 0.0000 1
Tl1 Tl 0.0000 0.0000 0.5000 1
Br1 Br 0.2500 0.2500 0.2500 1
```

The value obtained for the final energy is -2.427 eV per atom. The calculation puts the uncorrected formation energy at 0.17 eV per atom. As for the energy above the lowest structure with this stoichiometry: 514 meV/atom. Its size of the total moment is 2.29 μB/cell.

=====

Record 4
A plane-wave DFT calculation with GGA-PBEsol was carried out for a geometry-optimized Cd3Pd structure.

Geometry as CIF:
```
data_Cd3Pd
_chemical_formula_sum 'Cd6 Pd2'
_cell_length_a 4.0987
_cell_length_b 4.0987
_cell_length_c 8.5651
_cell_angle_alpha 90.00
_cell_angle_beta 90.00
_cell_angle_gamma 90.00
_space_group_name_H-M_alt 'I 4/m m m'
_space_group_IT_number 139
_space_group_name_Hall '-I 4 2'
loop_
_atom_site_label
_atom_site_type_symbol
_atom_site_fract_x
_atom_site_fract_y
_atom_site_fract_z
_atom_site_occupancy
Cd1 Cd 0.0000 0.0000 0.0000 1
Cd2 Cd 0.0000 0.5000 0.2500 1
Pd1 Pd 0.0000 0.0000 0.5000 1
```

The value obtained for the final energy is -2.629 eV per atom. As for the calculated formation energy: -0.241 eV/atom. Its size of the total moment is 0.00 μB/cell.

=====

Record 5
A plane-wave DFT calculation with GGA-PBEsol was carried out for a geometry-optimized CaZrAu2 structure.

Geometry as CIF:
```
data_CaZrAu2
_chemical_formula_sum 'Ca1 Zr1 Au2'
_cell_length_a 3.1371
_cell_length_b 5.0559
_cell_length_c 5.1158
_cell_angle_alpha 90.00
_cell_angle_beta 90.00
_cell_angle_gamma 90.00
_space_group_name_H-M_alt 'P m m 2'
_space_group_IT_number 25
loop_
_space_group_symop_operation_xyz
'x,y,z'
'-x,-y,z'
'-x,y,z'
'x,-y,z'
loop_
_atom_site_label
_atom_site_type_symbol
_atom_site_fract_x
_atom_site_fract_y
_atom_site_fract_z
_atom_site_occupancy
Ca1 Ca 0.0000 0.0000 0.0000 1
Zr1 Zr 0.0000 0.5000 0.5363 1
Au1 Au 0.5000 0.0000 0.4914 1
Au2 Au 0.5000 0.5000 0.0478 1
```

The value obtained for the final energy is -5.350 eV per atom. As for the calculated formation energy: -0.582 eV/atom. Its size of the total moment is 0.00 μB/cell.

=====

Record 6
A plane-wave DFT calculation with GGA-PBEsol was carried out for a geometry-optimized Ag5Se structure.

Geometry as CIF:
```
data_Ag5Se
_chemical_formula_sum 'Ag10 Se2'
_cell_length_a 4.7038
_cell_length_b 2.9029
_cell_length_c 15.1770
_cell_angle_alpha 90.00
_cell_angle_beta 90.00
_cell_angle_gamma 90.00
_space_group_name_H-M_alt 'A m m 2'
_space_group_IT_number 38
loop_
_space_group_symop_operation_xyz
'x,y,z'
'-x,-y,z'
'-x,y,z'
'x,-y,z'
'x,y+1/2,z+1/2'
'-x,-y+1/2,z+1/2'
'-x,y+1/2,z+1/2'
'x,-y+1/2,z+1/2'
loop_
_atom_site_label
_atom_site_type_symbol
_atom_site_fract_x
_atom_site_fract_y
_atom_site_fract_z
_atom_site_occupancy
Ag1 Ag 0.0000 0.0000 0.0000 1
Ag2 Ag 0.0000 0.0000 0.3259 1
Ag3 Ag 0.0000 0.0000 0.6628 1
Ag4 Ag 0.5000 0.0000 0.2179 1
Ag5 Ag 0.5000 0.0000 0.5576 1
Se1 Se 0.5000 0.0000 0.8919 1
```

The value obtained for the final energy is -3.344 eV per atom. The calculation puts the uncorrected formation energy at 0.06 eV per atom. Its size of the total moment is 0.00 μB/cell.

=====

Record 7
A plane-wave DFT calculation with GGA-PBEsol was carried out for a geometry-optimized InMoIr2Pd structure.

Geometry as CIF:
```
data_InMoIr2Pd
_chemical_formula_sum 'In1 Mo1 Ir2 Pd1'
_cell_length_a 4.5963
_cell_length_b 4.5963
_cell_length_c 5.0755
_cell_angle_alpha 90.00
_cell_angle_beta 90.00
_cell_angle_gamma 90.00
_space_group_name_H-M_alt 'P 4/m m m'
_space_group_IT_number 123
_space_group_name_Hall '-P 4 2'
loop_
_atom_site_label
_atom_site_type_symbol
_atom_site_fract_x
_atom_site_fract_y
_atom_site_fract_z
_atom_site_occupancy
In1 In 0.0000 0.0000 0.0000 1
Mo1 Mo 0.0000 0.0000 0.5000 1
Ir1 Ir 0.0000 0.5000 0.5000 1
Pd1 Pd 0.5000 0.5000 0.0000 1
```

The value obtained for the final energy is -6.560 eV per atom. As for the calculated formation energy: 1.511 eV/atom. Its size of the total moment is 0.00 μB/cell.

=====

Record 8
A plane-wave DFT calculation with GGA-PBEsol was carried out for a geometry-optimized CoSbWI2 structure.

Geometry as CIF:
```
data_CoSbWI2
_chemical_formula_sum 'Co1 Sb1 W1 I2'
_cell_length_a 4.9596
_cell_length_b 4.9596
_cell_length_c 4.8739
_cell_angle_alpha 90.00
_cell_angle_beta 90.00
_cell_angle_gamma 90.00
_space_group_name_H-M_alt 'P 4/m m m'
_space_group_IT_number 123
_space_group_name_Hall '-P 4 2'
loop_
_atom_site_label
_atom_site_type_symbol
_atom_site_fract_x
_atom_site_fract_y
_atom_site_fract_z
_atom_site_occupancy
Co1 Co 0.0000 0.0000 0.0000 1
Sb1 Sb 0.0000 0.0000 0.5000 1
W1 W 0.5000 0.5000 0.5000 1
I1 I 0.0000 0.5000 0.0000 1
```

The value obtained for the final energy is -4.512 eV per atom. The calculation puts the uncorrected formation energy at 1.41 eV per atom. Its size of the total moment is 2.75 μB/cell.

=====

Record 9
A plane-wave DFT calculation with GGA-PBEsol was carried out for a geometry-optimized CdCu3Se structure.

Geometry as CIF:
```
data_CdCu3Se
_chemical_formula_sum 'Cd1 Cu3 Se1'
_cell_length_a 4.6739
_cell_length_b 4.6739
_cell_length_c 4.6739
_cell_angle_alpha 90.00
_cell_angle_beta 90.00
_cell_angle_gamma 90.00
_space_group_name_H-M_alt 'P m -3 m'
_space_group_IT_number 221
_space_group_name_Hall '-P 4 2 3'
loop_
_atom_site_label
_atom_site_type_symbol
_atom_site_fract_x
_atom_site_fract_y
_atom_site_fract_z
_atom_site_occupancy
Cd1 Cd 0.0000 0.0000 0.0000 1
Cu1 Cu 0.0000 0.0000 0.5000 1
Se1 Se 0.5000 0.5000 0.5000 1
```

The value obtained for the final energy is -2.543 eV per atom. The calculation puts the uncorrected formation energy at 1.07 eV per atom. Its size of the total moment is 0.00 μB/cell.

=====

Record 10
A plane-wave DFT calculation with GGA-PBEsol was carried out for a geometry-optimized CaTe2P structure.

Geometry as CIF:
```
data_CaTe2P
_chemical_formula_sum 'Ca1 Te2 P1'
_cell_length_a 3.8316
_cell_length_b 5.0278
_cell_length_c 5.0447
_cell_angle_alpha 90.00
_cell_angle_beta 90.00
_cell_angle_gamma 90.00
_space_group_name_H-M_alt 'P m m m'
_space_group_IT_number 47
loop_
_space_group_symop_operation_xyz
'x,y,z'
'-x,-y,-z'
'-x,-y,z'
'x,y,-z'
'x,-y,-z'
'-x,y,z'
'-x,y,-z'
'x,-y,z'
loop_
_atom_site_label
_atom_site_type_symbol
_atom_site_fract_x
_atom_site_fract_y
_atom_site_fract_z
_atom_site_occupancy
Ca1 Ca 0.0000 0.0000 0.0000 1
Te1 Te 0.5000 0.0000 0.5000 1
Te2 Te 0.5000 0.5000 0.0000 1
P1 P 0.0000 0.5000 0.5000 1
```

The value obtained for the final energy is -4.089 eV per atom. The calculation puts the uncorrected formation energy at -0.34 eV per atom. Its size of the total moment is 0.00 μB/cell.